Entry 1:
## ZrAlNi4 (PBE-GGA)

Data for a relaxed structure of ZrAlNi4.

POSCAR file:
```
ZrAlNi4
1.0
7.0132 0.0000 0.0000
0.0000 3.5811 0.0000
0.0000 0.0000 6.4107
Zr Al Ni
2 2 8
direct
0.2500 0.0000 0.1517
0.7500 0.0000 0.8483
0.2500 0.0000 0.7246
0.7500 0.0000 0.2754
0.0000 0.0000 0.5000
0.0401 0.5000 0.8030
0.2500 0.5000 0.4593
0.4599 0.5000 0.8030
0.5000 0.0000 0.5000
0.5401 0.5000 0.1970
0.7500 0.5000 0.5407
0.9599 0.5000 0.1970
```

## Properties
ΔH_f (0 K) = -365.7 meV per atom
Space group = Pmma



Entry 2:
## ZrAl2Ni (PBE-GGA)

Data for a relaxed structure of ZrAl2Ni.

POSCAR file:
```
ZrAl2Ni
1.0
2.9808 0.0000 0.0000
0.0000 2.9808 0.0000
0.0000 0.0000 7.0284
Zr Al Ni
1 2 1
direct
0.0000 0.0000 0.0000
0.5000 0.5000 0.3008
0.5000 0.5000 0.6992
0.0000 0.0000 0.5000
```

## Properties
ΔH_f (0 K) = -560.9 meV per atom
Space group = P4/mmm



Entry 3:
## Zr2AlNi (PBE-GGA)

Data for a relaxed structure of Zr2AlNi.

POSCAR file:
```
Zr2AlNi
1.0
8.4367 0.0000 0.0000
0.0000 6.6865 0.0000
0.0000 0.0000 5.0973
Zr Al Ni
8 4 4
direct
0.1904 0.1547 0.2500
0.1904 0.8453 0.7500
0.3096 0.3453 0.7500
0.3096 0.6547 0.2500
0.6904 0.3453 0.7500
0.6904 0.6547 0.2500
0.8096 0.1547 0.2500
0.8096 0.8453 0.7500
0.0000 0.1958 0.7500
0.0000 0.8042 0.2500
0.5000 0.3042 0.2500
0.5000 0.6958 0.7500
0.0000 0.5000 0.0000
0.0000 0.5000 0.5000
0.5000 0.0000 0.0000
0.5000 0.0000 0.5000
```

## Properties
ΔH_f (0 K) = -358.7 meV per atom
Space group = Cmcm



Entry 4:
## ZrAl2Ni (PBE-GGA)

Data for a relaxed structure of ZrAl2Ni.

POSCAR file:
```
ZrAl2Ni
1.0
6.3263 0.0000 0.0000
0.0000 6.3263 0.0000
0.0000 0.0000 6.3263
Zr Al Ni
4 8 4
direct
0.0000 0.0000 0.0000
0.0000 0.5000 0.5000
0.5000 0.0000 0.5000
0.5000 0.5000 0.0000
0.2500 0.2500 0.2500
0.2500 0.2500 0.7500
0.2500 0.7500 0.2500
0.2500 0.7500 0.7500
0.7500 0.2500 0.2500
0.7500 0.2500 0.7500
0.7500 0.7500 0.2500
0.7500 0.7500 0.7500
0.0000 0.0000 0.5000
0.0000 0.5000 0.0000
0.5000 0.0000 0.0000
0.5000 0.5000 0.5000
```

## Properties
ΔH_f (0 K) = -249.9 meV per atom
Space group = Fm-3m



Entry 5:
## Zr2AlNi2 (PBE-GGA)

Data for a relaxed structure of Zr2AlNi2.

POSCAR file:
```
Zr2AlNi2
1.0
6.3775 0.0000 0.0000
0.0000 9.2233 0.0000
0.0000 0.0000 2.8420
Zr Al Ni
4 2 4
direct
0.1257 0.1897 0.0000
0.3743 0.6897 0.0000
0.6257 0.3103 0.0000
0.8743 0.8103 0.0000
0.0000 0.5000 0.0000
0.5000 0.0000 0.0000
0.1928 0.9312 0.5000
0.3072 0.4312 0.5000
0.6928 0.5688 0.5000
0.8072 0.0688 0.5000
```

## Properties
ΔH_f (0 K) = -270.3 meV per atom
Space group = Pbam



Entry 6:
## ZrAlNi2 (PBE-GGA)

Data for a relaxed structure of ZrAlNi2.

POSCAR file:
```
ZrAlNi2
1.0
6.9264 0.0000 0.0000
0.0000 6.4525 0.0000
0.0000 0.0000 5.3088
Zr Al Ni
4 4 8
direct
0.0447 0.2500 0.1646
0.4553 0.7500 0.6646
0.5447 0.2500 0.3354
0.9553 0.7500 0.8354
0.1090 0.7500 0.3360
0.3910 0.2500 0.8360
0.6090 0.7500 0.1640
0.8910 0.2500 0.6640
0.1829 0.0524 0.5793
0.1829 0.4476 0.5793
0.3171 0.5524 0.0793
0.3171 0.9476 0.0793
0.6829 0.0524 0.9207
0.6829 0.4476 0.9207
0.8171 0.5524 0.4207
0.8171 0.9476 0.4207
```

## Properties
ΔH_f (0 K) = -528.3 meV per atom
Space group = Pnma



Entry 7:
## Zr2AlNi (PBE-GGA)

Data for a relaxed structure of Zr2AlNi.

POSCAR file:
```
Zr2AlNi
1.0
3.3529 0.0000 0.0000
0.0000 4.1389 0.0000
-1.6684 0.0000 5.2881
Zr Al Ni
2 1 1
direct
0.0000 0.0000 0.0000
0.3089 0.5000 0.6187
0.5873 0.5000 0.1750
0.7261 0.0000 0.4526
```

## Properties
ΔH_f (0 K) = -378.4 meV per atom
Space group = Pm



Entry 8:
## ZrAl2Ni (PBE-GGA)

Data for a relaxed structure of ZrAl2Ni.

POSCAR file:
```
ZrAl2Ni
1.0
3.0910 0.0000 0.0000
0.0000 3.0910 0.0000
0.0000 0.0000 6.6842
Zr Al Ni
1 2 1
direct
0.0000 0.0000 0.0000
0.0000 0.0000 0.5518
0.5000 0.5000 0.2947
0.5000 0.5000 0.7138
```

## Properties
ΔH_f (0 K) = -411.3 meV per atom
Space group = P4mm



Entry 9:
## ZrAl2Ni (PBE-GGA)

Data for a relaxed structure of ZrAl2Ni.

POSCAR file:
```
ZrAl2Ni
1.0
2.9550 0.0000 0.0000
-1.4775 2.5591 0.0000
0.0000 0.0000 8.6932
Zr Al Ni
1 2 1
direct
0.0000 0.0000 0.0000
0.3333 0.6667 0.2903
0.3333 0.6667 0.7097
0.0000 0.0000 0.5000
```

## Properties
ΔH_f (0 K) = -283.9 meV per atom
Space group = P-6m2



Entry 10:
## Zr2AlNi (PBE-GGA)

Data for a relaxed structure of Zr2AlNi.

POSCAR file:
```
Zr2AlNi
1.0
5.4873 0.0000 0.0000
1.4957 5.2970 0.0000
1.2305 1.8500 5.0365
Zr Al Ni
4 2 2
direct
0.0000 0.0000 0.0000
0.1350 0.5504 0.5714
0.4410 0.4283 0.0275
0.6054 0.0085 0.6010
0.4896 0.8616 0.1891
0.9083 0.4699 0.1358
0.1282 0.0798 0.4759
0.6834 0.4771 0.5550
```

## Properties
ΔH_f (0 K) = -378.7 meV per atom
Space group = P1



Entry 11:
## ZrAl4Ni (PBE-GGA)

Data for a relaxed structure of ZrAl4Ni.

POSCAR file:
```
ZrAl4Ni
1.0
0.0000 3.6775 3.6775
3.6775 0.0000 3.6775
3.6775 3.6775 0.0000
Zr Al Ni
1 4 1
direct
0.0000 0.0000 0.0000
0.1239 0.6254 0.6254
0.6254 0.1239 0.6254
0.6254 0.6254 0.1239
0.6254 0.6254 0.6254
0.2500 0.2500 0.2500
```

## Properties
ΔH_f (0 K) = -70.5 meV per atom
Space group = F-43m



Entry 12:
## ZrAlNi2 (PBE-GGA)

Data for a relaxed structure of ZrAlNi2.

POSCAR file:
```
ZrAlNi2
1.0
4.1435 0.0000 0.0000
0.0000 3.1511 0.0000
0.0000 0.0000 9.1596
Zr Al Ni
2 2 4
direct
0.0000 0.0000 0.0000
0.0000 0.5000 0.5000
0.5000 0.0000 0.7095
0.5000 0.5000 0.2095
0.0000 0.0000 0.2725
0.0000 0.5000 0.7725
0.5000 0.0000 0.4266
0.5000 0.5000 0.9266
```

## Properties
ΔH_f (0 K) = -440.8 meV per atom
Space group = Amm2



Record-wise V values, in A^3/atom: 13.4; 15.6; 18.0; 15.8; 16.7; 14.8; 18.3; 16.0; 16.4; 18.3; 16.6; 14.9